A relaxed structure of PrTmGa2Ni4. Source: OQMD, functional PBE-GGA.

Unit cell a=4.1639 b=4.1639 c=9.0606 alpha=90.00 beta=90.00 gamma=120.00
Space group P-6m2 (No. 187)
Asymmetric unit:
Pr: 0.0000 0.0000 0.0000
Tm: 0.3333 0.6667 0.5000
Ga: 0.6667 0.3333 0.2629
Ni: 0.0000 0.0000 0.3241
Ni: 0.3333 0.6667 0.2045

Summary:
electronic total energy	-5.237	eV/atom
crystal system	hexagonal

A relaxed structure of YZrW2. Source: OQMD, functional PBE-GGA.

Unit cell a=6.797 b=6.797 c=6.797 alpha=90.00 beta=90.00 gamma=90.00
Space group F-43m (No. 216)
Asymmetric unit:
Y: 0.000 0.000 0.000
Zr: 0.250 0.250 0.250
W: 0.000 0.000 0.500
W: 0.250 0.250 0.750

Summary:
electronic total energy	-9.798	eV/atom
crystal system	cubic
DFT formation energy	1.7	eV per formula unit

A relaxed structure of AcTaNO. Source: OQMD, functional PBE-GGA.

Unit cell a=6.713 b=7.655 c=5.428 alpha=90.00 beta=90.00 gamma=90.00
Space group Pca2_1 (No. 29)
Asymmetric unit:
Ac: 0.070 0.159 0.000
Ta: 0.139 0.653 0.012
N: 0.045 0.156 0.493
O: 0.090 0.527 0.657

Summary:
electronic total energy	-8.650	eV/atom
crystal system	orthorhombic

A relaxed structure of Dy2Y3Tm2Ni2Te2. Source: OQMD, functional PBE-GGA.

Unit cell a=3.849 b=15.590 c=9.546 alpha=90.00 beta=90.00 gamma=90.00
Space group Imm2 (No. 44)
Asymmetric unit:
Dy: 0.000 0.132 0.000
Y: 0.000 0.000 0.583
Y: 0.000 0.353 0.850
Tm: 0.000 0.315 0.202
Ni: 0.000 0.238 0.511
Te: 0.000 0.000 0.246
Te: 0.000 0.500 0.346

Summary:
electronic total energy	-5.688	eV/atom
crystal system	orthorhombic

A relaxed structure of BaSrBi2Au2. Source: OQMD, functional PBE-GGA.

Unit cell a=4.9256 b=4.9256 c=9.1270 alpha=90.00 beta=90.00 gamma=120.00
Space group P3m1 (No. 156)
Asymmetric unit:
Ba: 0.0000 0.0000 0.0000
Sr: 0.0000 0.0000 0.5016
Bi: 0.3333 0.6667 0.7466
Bi: 0.6667 0.3333 0.2634
Au: 0.3333 0.6667 0.2566
Au: 0.6667 0.3333 0.7260

Summary:
electronic total energy	-3.813	eV/atom
crystal system	trigonal

A relaxed structure of CsGeTe2AuSe. Source: OQMD, functional PBE-GGA.

Unit cell a=3.943 b=17.041 c=11.454 alpha=90.00 beta=90.00 gamma=90.00
Space group Cmcm (No. 63)
Asymmetric unit:
Cs: 0.000 0.239 0.250
Ge: 0.000 0.500 0.000
Te: 0.000 0.121 0.532
Au: 0.000 0.058 0.750
Se: 0.000 0.455 0.750

Summary:
electronic total energy	-3.327	eV/atom
crystal system	orthorhombic

A relaxed structure of IrIBr2. Source: OQMD, functional PBE-GGA.

Unit cell a=6.630 b=11.919 c=6.738 alpha=90.00 beta=90.00 gamma=90.00
Space group Amm2 (No. 38)
Asymmetric unit:
Ir: 0.246 0.000 0.000
I: 0.500 0.149 0.154
Br: 0.000 0.000 0.282
Br: 0.000 0.141 0.851
Br: 0.500 0.000 0.719

Summary:
electronic total energy	-3.604	eV/atom
crystal system	orthorhombic

A relaxed structure of CoNi2Pt2. Source: OQMD, functional PBE-GGA.

Unit cell a=3.679 b=3.679 c=11.085 alpha=90.00 beta=90.00 gamma=90.00
Space group I4/mmm (No. 139)
Asymmetric unit:
Co: 0.000 0.000 0.000
Ni: 0.000 0.000 0.403
Pt: 0.000 0.500 0.250

Summary:
electronic total energy	-5.537	eV/atom
crystal system	tetragonal
DFT formation energy	2.7	eV per formula unit

A relaxed structure of TaAlOs2. Source: OQMD, functional PBE-GGA.

Unit cell a=4.4624 b=4.4624 c=7.3767 alpha=90.00 beta=90.00 gamma=120.00
Space group P6_3/mmc (No. 194)
Asymmetric unit:
Ta: 0.0000 0.0000 0.2500
Al: 0.3333 0.6667 0.2500
Os: 0.3333 0.6667 0.5792

Summary:
electronic total energy	-9.044	eV/atom
crystal system	hexagonal

A relaxed structure of TcSe2. Source: OQMD, functional PBE-GGA.

Unit cell a=3.427 b=5.947 c=35.809 alpha=90.00 beta=90.00 gamma=90.00
Space group C222_1 (No. 20)
Asymmetric unit:
Tc: 0.240 0.001 0.409
Se: 0.240 0.334 0.366
Se: 0.240 0.334 0.452

Summary:
electronic total energy	-6.093	eV/atom
crystal system	orthorhombic

A relaxed structure of BaPmZn. Source: OQMD, functional PBE-GGA.

Unit cell a=7.643 b=7.643 c=7.643 alpha=90.00 beta=90.00 gamma=90.00
Space group F-43m (No. 216)
Asymmetric unit:
Ba: 0.000 0.000 0.000
Pm: 0.000 0.000 0.500
Zn: 0.250 0.250 0.250

Summary:
electronic total energy	-2.455	eV/atom
crystal system	cubic

A relaxed structure of ErNbSb. Source: OQMD, functional PBE-GGA.

Unit cell a=7.020 b=7.020 c=7.020 alpha=90.00 beta=90.00 gamma=90.00
Space group F-43m (No. 216)
Asymmetric unit:
Er: 0.000 0.000 0.000
Nb: 0.250 0.250 0.750
Sb: 0.250 0.250 0.250

Summary:
electronic total energy	-5.625	eV/atom
crystal system	cubic

A relaxed structure of NaPbAuS3. Source: OQMD, functional PBE-GGA.

Unit cell a=4.012 b=14.426 c=10.260 alpha=90.00 beta=90.00 gamma=90.00
Space group Cmcm (No. 63)
Asymmetric unit:
Na: 0.000 0.195 0.250
Pb: 0.000 0.500 0.000
Au: 0.000 0.141 0.750
S: 0.000 0.134 0.527
S: 0.000 0.440 0.750

Summary:
electronic total energy	-3.746	eV/atom
crystal system	orthorhombic

A relaxed structure of TmHfSnC. Source: OQMD, functional PBE-GGA.

Unit cell a=3.4292 b=3.4292 c=15.0305 alpha=90.00 beta=90.00 gamma=120.00
Space group P6_3mc (No. 186)
Asymmetric unit:
Tm: 0.3333 0.6667 0.0000
Hf: 0.3333 0.6667 0.6692
Sn: 0.3333 0.6667 0.3291
C: 0.0000 0.0000 0.0942

Summary:
electronic total energy	-7.620	eV/atom
crystal system	hexagonal

A relaxed structure of InFeTcAu. Source: OQMD, functional PBE-GGA.

Unit cell a=6.417 b=6.417 c=6.417 alpha=90.00 beta=90.00 gamma=90.00
Space group F-43m (No. 216)
Asymmetric unit:
In: 0.000 0.000 0.000
Fe: 0.250 0.250 0.250
Tc: 0.000 0.000 0.500
Au: 0.250 0.250 0.750

Summary:
electronic total energy	-5.782	eV/atom
crystal system	cubic

A relaxed structure of BeCdSn2P4. Source: OQMD, functional PBE-GGA.

Unit cell a=5.665 b=5.665 c=11.407 alpha=90.00 beta=90.00 gamma=90.00
Space group I-4 (No. 82)
Asymmetric unit:
Be: 0.000 0.000 0.000
Cd: 0.000 0.500 0.750
Sn: 0.000 0.000 0.500
Sn: 0.000 0.500 0.250
P: 0.222 0.226 0.114

Summary:
electronic total energy	-4.423	eV/atom
crystal system	tetragonal

A relaxed structure of ZrScTeC. Source: OQMD, functional PBE-GGA.

Unit cell a=3.5540 b=3.5540 c=13.3412 alpha=90.00 beta=90.00 gamma=120.00
Space group P6_3mc (No. 186)
Asymmetric unit:
Zr: 0.3333 0.6667 0.0000
Sc: 0.3333 0.6667 0.3214
Te: 0.3333 0.6667 0.6606
C: 0.0000 0.0000 0.4123

Summary:
electronic total energy	-7.681	eV/atom
crystal system	hexagonal

A relaxed structure of SrCdSeO. Source: OQMD, functional PBE-GGA.

Unit cell a=6.942 b=7.782 c=13.941 alpha=90.00 beta=90.00 gamma=90.00
Space group Pbca (No. 61)
Asymmetric unit:
Sr: 0.080 0.248 0.124
Cd: 0.104 0.240 0.352
Se: 0.249 0.009 0.960
O: 0.150 0.741 0.236

Summary:
electronic total energy	-4.201	eV/atom
crystal system	orthorhombic

A relaxed structure of TlCuMoSe3. Source: OQMD, functional PBE-GGA.

Unit cell a=8.076 b=3.807 c=9.968 alpha=90.00 beta=113.18 gamma=90.00
Space group P2_1/m (No. 11)
Asymmetric unit:
Tl: 0.223 0.250 0.210
Cu: 0.420 0.250 0.892
Mo: 0.200 0.750 0.667
Se: 0.044 0.750 0.379
Se: 0.254 0.750 0.937
Se: 0.410 0.250 0.648

Summary:
electronic total energy	-4.865	eV/atom
crystal system	monoclinic

A relaxed structure of KPrSO. Source: OQMD, functional PBE-GGA.

Unit cell a=4.623 b=8.147 c=6.538 alpha=90.00 beta=90.00 gamma=90.00
Space group Pmc2_1 (No. 26)
Asymmetric unit:
K: 0.000 0.193 0.000
Pr: 0.500 0.363 0.433
S: 0.000 0.193 0.518
O: 0.500 0.398 0.096

Summary:
electronic total energy	-5.835	eV/atom
crystal system	orthorhombic